Entry 1:
Below is a relaxed structure of LaPm2Nd3, with properties calculated at the PBE level.

a b c (Å): 9.3649 9.3649 14.6981
angles (deg): 116.34 116.34 21.92
Fractional coordinates of all 12 atoms:
La: 0.0653 0.0653 0.1449
La: 0.9347 0.9347 0.8551
Pm: 0.1568 0.1568 0.9699
Pm: 0.3195 0.3195 0.6157
Pm: 0.6805 0.6805 0.3843
Pm: 0.8432 0.8432 0.0301
Nd: 0.0997 0.0997 0.5285
Nd: 0.2380 0.2380 0.7931
Nd: 0.4622 0.4622 0.2873
Nd: 0.5378 0.5378 0.7127
Nd: 0.7620 0.7620 0.2069
Nd: 0.9003 0.9003 0.4715

Output
formation enthalpy at 0 K	0.105	eV per atom
magnetic moment	0.0	μB/cell
SG	C2/m, No. 12
energy relative to the lowest polymorph listed for this composition	0	meV per atom
V	429	Å³ per cell

Entry 2:
Below is a relaxed structure of LaPm4Nd, with properties calculated at the PBE level.

a b c (Å): 12.1942 3.6802 10.3581
angles (deg): 90.00 115.13 90.00
Fractional coordinates of all 12 atoms:
La: 0.0000 0.0000 0.0000
La: 0.5000 0.5000 0.0000
Pm: 0.1675 0.5000 0.3348
Pm: 0.1672 0.5000 0.8326
Pm: 0.3328 0.0000 0.1674
Pm: 0.3325 0.0000 0.6652
Pm: 0.6675 0.0000 0.3348
Pm: 0.6672 0.0000 0.8326
Pm: 0.8328 0.5000 0.1674
Pm: 0.8325 0.5000 0.6652
Nd: 0.0000 0.0000 0.5000
Nd: 0.5000 0.5000 0.5000

Output
formation enthalpy at 0 K	0.017	eV per atom
magnetic moment	0.0	μB/cell
SG	C2/m, No. 12
energy relative to the lowest polymorph listed for this composition	0	meV per atom
V	421	Å³ per cell

Entry 3:
Below is a relaxed structure of La6PmNd12, with properties calculated at the PBE level.

a b c (Å): 9.7915 9.7915 9.7915
angles (deg): 110.89 110.89 110.89
Fractional coordinates of all 19 atoms:
La: 0.0542 0.3689 0.5790
La: 0.3689 0.5790 0.0542
La: 0.4210 0.9458 0.6311
La: 0.5790 0.0542 0.3689
La: 0.6311 0.4210 0.9458
La: 0.9458 0.6311 0.4210
Pm: 0.0000 0.0000 0.0000
Nd: 0.1056 0.7378 0.1567
Nd: 0.1567 0.1056 0.7378
Nd: 0.2097 0.4721 0.3146
Nd: 0.2622 0.8433 0.8944
Nd: 0.3146 0.2097 0.4721
Nd: 0.4721 0.3146 0.2097
Nd: 0.5279 0.6854 0.7903
Nd: 0.6854 0.7903 0.5279
Nd: 0.7378 0.1567 0.1056
Nd: 0.7903 0.5279 0.6854
Nd: 0.8433 0.8944 0.2622
Nd: 0.8944 0.2622 0.8433

Output
formation enthalpy at 0 K	0.016	eV per atom
magnetic moment	0.0	μB/cell
SG	R-3, No. 148
energy relative to the lowest polymorph listed for this composition	0	meV per atom
V	682	Å³ per cell

Question: formation enthalpy at 0 K of number 2 (LaPm4Nd)?
Answer: 0.017 eV per atom